*i*
# AcZn3Ag, optimized geometry, DFT PBE
data_AcZn3Ag
_chemical_formula_sum 'Ac2 Zn6 Ag2'
_space_group_name_H-M_alt 'C 1 m 1'
_space_group_IT_number 8
_cell_length_a 6.644
_cell_length_b 6.260
_cell_length_c 6.208
_cell_angle_alpha 90.00
_cell_angle_beta 122.25
_cell_angle_gamma 90.00
loop_
_space_group_symop_operation_xyz
'x,y,z'
'x,-y,z'
'x+1/2,y+1/2,z'
'x+1/2,-y+1/2,z'
loop_
_atom_site_label
_atom_site_fract_x
_atom_site_fract_y
_atom_site_fract_z
Ac1 0.000 0.000 0.000
Zn1 0.128 0.500 0.255
Zn2 0.493 0.250 0.486
Ag1 0.376 0.000 0.752
# Calculated volume = 218.4 Å³/cell

***

*ii*
# AcZn3Ag, optimized geometry, DFT PBE
data_AcZn3Ag
_chemical_formula_sum 'Ac1 Zn3 Ag1'
_space_group_name_H-M_alt 'P m -3 m'
_space_group_IT_number 221
_space_group_name_Hall '-P 4 2 3'
_cell_length_a 4.928
_cell_length_b 4.928
_cell_length_c 4.928
_cell_angle_alpha 90.00
_cell_angle_beta 90.00
_cell_angle_gamma 90.00
loop_
_atom_site_label
_atom_site_fract_x
_atom_site_fract_y
_atom_site_fract_z
Ac1 0.000 0.000 0.000
Zn1 0.000 0.500 0.500
Ag1 0.500 0.500 0.500
# Calculated volume = 119.7 Å³/cell

***

*iii*
# AcZn3Ag, optimized geometry, DFT PBE
data_AcZn3Ag
_chemical_formula_sum 'Ac2 Zn6 Ag2'
_space_group_name_H-M_alt 'P 63/m m c'
_space_group_IT_number 194
_space_group_name_Hall '-P 6c 2c'
_cell_length_a 6.5941
_cell_length_b 6.5941
_cell_length_c 5.8507
_cell_angle_alpha 90.00
_cell_angle_beta 90.00
_cell_angle_gamma 120.00
loop_
_atom_site_label
_atom_site_fract_x
_atom_site_fract_y
_atom_site_fract_z
Ac1 0.3333 0.6667 0.2500
Zn1 0.1971 0.3942 0.7500
Ag1 0.0000 0.0000 0.0000
# Calculated volume = 220.3 Å³/cell

***

It turns out *i* is the most stable, with the second structure 5.9 kJ/mol of atoms higher.

***

*i*
# Ac2Zn2Ag, optimized geometry, DFT PBE
data_Ac2Zn2Ag
_chemical_formula_sum 'Ac8 Zn8 Ag4'
_space_group_name_H-M_alt 'C 1 2/m 1'
_space_group_IT_number 12
_cell_length_a 11.101
_cell_length_b 4.867
_cell_length_c 11.551
_cell_angle_alpha 90.00
_cell_angle_beta 117.35
_cell_angle_gamma 90.00
loop_
_space_group_symop_operation_xyz
'x,y,z'
'-x,-y,-z'
'-x,y,-z'
'x,-y,z'
'x+1/2,y+1/2,z'
'-x+1/2,-y+1/2,-z'
'-x+1/2,y+1/2,-z'
'x+1/2,-y+1/2,z'
loop_
_atom_site_label
_atom_site_fract_x
_atom_site_fract_y
_atom_site_fract_z
Ac1 0.025 0.000 0.339
Ac2 0.199 0.000 0.110
Zn1 0.008 0.500 0.889
Zn2 0.137 0.500 0.564
Ag1 0.231 0.500 0.345
# Calculated volume = 554.3 Å³/cell

***

*ii*
# Ac2Zn2Ag, optimized geometry, DFT PBE
data_Ac2Zn2Ag
_chemical_formula_sum 'Ac4 Zn4 Ag2'
_space_group_name_H-M_alt 'P 4/m b m'
_space_group_IT_number 127
_space_group_name_Hall '-P 4 2ab'
_cell_length_a 7.631
_cell_length_b 7.631
_cell_length_c 4.738
_cell_angle_alpha 90.00
_cell_angle_beta 90.00
_cell_angle_gamma 90.00
loop_
_atom_site_label
_atom_site_fract_x
_atom_site_fract_y
_atom_site_fract_z
Ac1 0.174 0.326 0.000
Zn1 0.125 0.625 0.500
Ag1 0.000 0.000 0.500
# Calculated volume = 275.9 Å³/cell

***

It turns out *i* is the most stable, with the second structure 5.1 kJ/mol of atoms higher.

***

*i*
# Ac3Zn4Ag4, optimized geometry, DFT PBE
data_Ac3Zn4Ag4
_chemical_formula_sum 'Ac3 Zn4 Ag4'
_space_group_name_H-M_alt 'P -1'
_space_group_IT_number 2
_cell_length_a 4.223
_cell_length_b 4.614
_cell_length_c 14.380
_cell_angle_alpha 99.10
_cell_angle_beta 98.36
_cell_angle_gamma 90.18
loop_
_space_group_symop_operation_xyz
'x,y,z'
'-x,-y,-z'
loop_
_atom_site_label
_atom_site_fract_x
_atom_site_fract_y
_atom_site_fract_z
Ac1 0.000 0.000 0.000
Ac2 0.151 0.650 0.301
Zn1 0.251 0.254 0.505
Zn2 0.401 0.901 0.802
Ag1 0.306 0.806 0.610
Ag2 0.448 0.449 0.898
# Calculated volume = 273.6 Å³/cell

***

*ii*
# Ac3Zn4Ag4, optimized geometry, DFT PBE
data_Ac3Zn4Ag4
_chemical_formula_sum 'Ac6 Zn8 Ag8'
_space_group_name_H-M_alt 'I m m m'
_space_group_IT_number 71
_space_group_name_Hall '-I 2 2'
_cell_length_a 4.574
_cell_length_b 7.629
_cell_length_c 15.336
_cell_angle_alpha 90.00
_cell_angle_beta 90.00
_cell_angle_gamma 90.00
loop_
_atom_site_label
_atom_site_fract_x
_atom_site_fract_y
_atom_site_fract_z
Ac1 0.000 0.000 0.000
Ac2 0.000 0.500 0.134
Zn1 0.000 0.000 0.216
Zn2 0.000 0.173 0.500
Ag1 0.000 0.311 0.334
# Calculated volume = 535.2 Å³/cell

***

It turns out *i* is the most stable, with the second structure 2.5 kJ/mol of atoms higher.

***

*i*
# Ac4ZnAg3, optimized geometry, DFT PBE
data_Ac4ZnAg3
_chemical_formula_sum 'Ac4 Zn1 Ag3'
_space_group_name_H-M_alt 'P m m 2'
_space_group_IT_number 25
_cell_length_a 4.260
_cell_length_b 4.967
_cell_length_c 11.947
_cell_angle_alpha 90.00
_cell_angle_beta 90.00
_cell_angle_gamma 90.00
loop_
_space_group_symop_operation_xyz
'x,y,z'
'-x,-y,z'
'-x,y,z'
'x,-y,z'
loop_
_atom_site_label
_atom_site_fract_x
_atom_site_fract_y
_atom_site_fract_z
Ac1 0.000 0.000 0.000
Ac2 0.000 0.500 0.284
Ac3 0.500 0.000 0.498
Ac4 0.500 0.500 0.784
Zn1 0.500 0.000 0.215
Ag1 0.000 0.000 0.717
Ag2 0.000 0.500 0.568
Ag3 0.500 0.500 0.071
# Calculated volume = 252.8 Å³/cell

***

*ii*
# Ac4ZnAg3, optimized geometry, DFT PBE
data_Ac4ZnAg3
_chemical_formula_sum 'Ac4 Zn1 Ag3'
_space_group_name_H-M_alt 'P 4/m m m'
_space_group_IT_number 123
_space_group_name_Hall '-P 4 2'
_cell_length_a 3.953
_cell_length_b 3.953
_cell_length_c 15.771
_cell_angle_alpha 90.00
_cell_angle_beta 90.00
_cell_angle_gamma 90.00
loop_
_atom_site_label
_atom_site_fract_x
_atom_site_fract_y
_atom_site_fract_z
Ac1 0.000 0.000 0.123
Ac2 0.000 0.000 0.374
Zn1 0.500 0.500 0.000
Ag1 0.500 0.500 0.249
Ag2 0.500 0.500 0.500
# Calculated volume = 246.5 Å³/cell

***

It turns out *ii* is the most stable, with the second structure 0.9 kJ/mol of atoms higher.

***

*i*
# AcZnAg, optimized geometry, DFT PBE
data_AcZnAg
_chemical_formula_sum 'Ac4 Zn4 Ag4'
_space_group_name_H-M_alt 'F -4 3 m'
_space_group_IT_number 216
_space_group_name_Hall 'F -4 2 3'
_cell_length_a 7.098
_cell_length_b 7.098
_cell_length_c 7.098
_cell_angle_alpha 90.00
_cell_angle_beta 90.00
_cell_angle_gamma 90.00
loop_
_atom_site_label
_atom_site_fract_x
_atom_site_fract_y
_atom_site_fract_z
Ac1 0.000 0.000 0.000
Zn1 0.000 0.000 0.500
Ag1 0.250 0.250 0.750
# Calculated volume = 357.6 Å³/cell

***

*ii*
# AcZnAg, optimized geometry, DFT PBE
data_AcZnAg
_chemical_formula_sum 'Ac2 Zn2 Ag2'
_space_group_name_H-M_alt 'I 4 m m'
_space_group_IT_number 107
_space_group_name_Hall 'I 4 -2'
_cell_length_a 3.795
_cell_length_b 3.795
_cell_length_c 10.731
_cell_angle_alpha 90.00
_cell_angle_beta 90.00
_cell_angle_gamma 90.00
loop_
_atom_site_label
_atom_site_fract_x
_atom_site_fract_y
_atom_site_fract_z
Ac1 0.000 0.000 0.000
Zn1 0.000 0.000 0.310
Ag1 0.000 0.000 0.698
# Calculated volume = 154.6 Å³/cell

***

It turns out *ii* is the most stable, with the second structure 6.9 kJ/mol of atoms higher.

***

*i*
# AcZnAg, optimized geometry, DFT PBE
data_AcZnAg
_chemical_formula_sum 'Ac4 Zn4 Ag4'
_space_group_name_H-M_alt 'C 1 2/m 1'
_space_group_IT_number 12
_cell_length_a 11.495
_cell_length_b 4.776
_cell_length_c 7.969
_cell_angle_alpha 90.00
_cell_angle_beta 133.82
_cell_angle_gamma 90.00
loop_
_space_group_symop_operation_xyz
'x,y,z'
'-x,-y,-z'
'-x,y,-z'
'x,-y,z'
'x+1/2,y+1/2,z'
'-x+1/2,-y+1/2,-z'
'-x+1/2,y+1/2,-z'
'x+1/2,-y+1/2,z'
loop_
_atom_site_label
_atom_site_fract_x
_atom_site_fract_y
_atom_site_fract_z
Ac1 0.002 0.000 0.255
Zn1 0.161 0.500 0.158
Ag1 0.175 0.500 0.677
# Calculated volume = 315.7 Å³/cell

***

*ii*
# AcZnAg, optimized geometry, DFT PBE
data_AcZnAg
_chemical_formula_sum 'Ac1 Zn1 Ag1'
_space_group_name_H-M_alt 'P -6 m 2'
_space_group_IT_number 187
_space_group_name_Hall 'P -6 2'
_cell_length_a 4.7745
_cell_length_b 4.7745
_cell_length_c 3.9991
_cell_angle_alpha 90.00
_cell_angle_beta 90.00
_cell_angle_gamma 120.00
loop_
_atom_site_label
_atom_site_fract_x
_atom_site_fract_y
_atom_site_fract_z
Ac1 0.0000 0.0000 0.0000
Zn1 0.6667 0.3333 0.5000
Ag1 0.3333 0.6667 0.5000
# Calculated volume = 78.9 Å³/cell

***

It turns out *ii* is the most stable, with the second structure 0.8 kJ/mol of atoms higher.